The following is a DFT calculation (PBE-GGA) of a relaxed structure of LiErPdPb.

abc: 4.806 4.806 4.806
angles: 60.00 60.00 60.00
Element x y z (fractional)
Er 0.750 0.750 0.750
Li 0.000 0.000 0.000
Pd 0.500 0.500 0.500
Pb 0.250 0.250 0.250

Energy of formation   -0.63 eV per atom
V   19.629 Å³ per atom